## Zr3Be (PBE)

Data for a geometry-optimized Zr3Be structure.

abc: 5.855 5.855 5.855
angles: 148.07 130.80 59.86
Fractional coordinates of all 4 atoms:
1 Be 0.083 0.000 0.083
2 Zr 0.583 0.500 0.083
3 Zr 0.875 0.292 0.584
4 Zr 0.292 0.708 0.584

Computed properties:
The energy above the most stable polymorph in this dataset is 12 kJ/mol of formula units.

---

## SrAc6Pm (PBE)

Data for a geometry-optimized SrAc6Pm structure.

abc: 5.624 5.624 11.224
angles: 90.00 90.00 90.00
Fractional coordinates of all 8 atoms:
1 Sr 0.000 0.000 0.000
2 Ac 0.500 0.500 0.000
3 Ac 0.500 0.500 0.500
4 Ac 0.500 0.000 0.260
5 Ac 0.500 0.000 0.740
6 Ac 0.000 0.500 0.260
7 Ac 0.000 0.500 0.740
8 Pm 0.000 0.000 0.500

---

| no. | formation enthalpy at 0 K (eV per formula unit) | V (A^3/atom) | energy (eV/f.u.) |
| --- | --- | --- | --- |
| 1 | 0.23 | 19.91 | -29.1 |
| 2 | 0.35 | 44.37 | -30.7 |